Entry 1:
RbAl2Pb2: single point on PBEsol structure, SCAN.

abc: 4.1722 4.1722 17.3323
angles: 90.00 90.00 90.00
Space group I4/mmm (No. 139)
Symmetry-distinct sites (fractional):
Rb: 0.0000 0.0000 0.0000
Al: 0.0000 0.5000 0.2500
Pb: 0.0000 0.0000 0.3639

Summary:
Fermi-level density of states	2.65	states/eV/cell
ΔE_f	-0.136	eV/atom
crystal system	tetragonal
raw total energy	-37.70	eV per atom


Entry 2:
Ta2NiW: single point on PBEsol structure, SCAN.

abc: 2.6950 4.3716 5.3205
angles: 90.00 99.28 90.00
Space group P2/m (No. 10)
Symmetry-distinct sites (fractional):
Ta: 0.2487 0.0000 0.2496
Ni: 0.5000 0.5000 0.0000
W: 0.0000 0.5000 0.5000

Summary:
Fermi-level density of states	3.41	states/eV/cell
ΔE_f	0.067	eV/atom
crystal system	monoclinic
raw total energy	-54.69	eV per atom


Entry 3:
La3AgP: single point on PBEsol structure, SCAN.

abc: 5.5110 5.5110 5.5110
angles: 90.00 90.00 90.00
Space group Pm-3m (No. 221)
Symmetry-distinct sites (fractional):
La: 0.0000 0.0000 0.5000
Ag: 0.5000 0.5000 0.5000
P: 0.0000 0.0000 0.0000

Summary:
Fermi-level density of states	8.75	states/eV/cell
ΔE_f	-0.463	eV/atom
crystal system	cubic
raw total energy	-34.68	eV per atom


Entry 4:
Al4Ag3: single point on PBEsol structure, SCAN.

abc: 2.8571 2.8571 27.7204
angles: 90.00 90.00 90.00
Space group I4mm (No. 107)
Symmetry-distinct sites (fractional):
Al: 0.0000 0.0000 0.0000
Al: 0.0000 0.0000 0.1404
Al: 0.0000 0.0000 0.4259
Al: 0.0000 0.0000 0.8524
Ag: 0.0000 0.0000 0.2846
Ag: 0.0000 0.0000 0.5706
Ag: 0.0000 0.0000 0.7080

Summary:
Fermi-level density of states	3.64	states/eV/cell
ΔE_f	-0.064	eV/atom
crystal system	tetragonal
raw total energy	-17.94	eV per atom


Entry 5:
MgCr2Fe2: single point on PBEsol structure, SCAN.

abc: 3.8159 3.8159 9.0069
angles: 90.00 90.00 90.00
Space group I4/mmm (No. 139)
Symmetry-distinct sites (fractional):
Mg: 0.0000 0.0000 0.0000
Cr: 0.0000 0.5000 0.2500
Fe: 0.0000 0.0000 0.3777

Summary:
Fermi-level density of states	6.64	states/eV/cell
ΔE_f	0.378	eV/atom
crystal system	tetragonal
raw total energy	-15.22	eV per atom


Entry 6:
MgTlPt2: single point on PBEsol structure, SCAN.

abc: 9.9523 2.9805 4.8112
angles: 90.00 103.49 90.00
Space group Cm (No. 8)
Symmetry-distinct sites (fractional):
Mg: 0.0000 0.0000 0.0000
Tl: 0.2207 0.0000 0.6389
Pt: 0.2441 0.5000 0.1449
Pt: 0.4735 0.0000 0.4798

Summary:
Fermi-level density of states	2.66	states/eV/cell
ΔE_f	-0.325	eV/atom
crystal system	monoclinic
raw total energy	-54.75	eV per atom


Entry 7:
IrRh3: single point on PBEsol structure, SCAN.

abc: 3.7893 3.7893 3.7893
angles: 90.00 90.00 90.00
Space group Pm-3m (No. 221)
Symmetry-distinct sites (fractional):
Ir: 0.0000 0.0000 0.0000
Rh: 0.0000 0.5000 0.5000

Summary:
Fermi-level density of states	4.37	states/eV/cell
ΔE_f	-0.013	eV/atom
crystal system	cubic
raw total energy	-43.12	eV per atom


Entry 8:
Y2HgBr: single point on PBEsol structure, SCAN.

abc: 3.7067 4.6433 5.9199
angles: 90.00 90.00 90.00
Space group Pmmm (No. 47)
Symmetry-distinct sites (fractional):
Y: 0.0000 0.0000 0.0000
Y: 0.5000 0.5000 0.5000
Hg: 0.0000 0.0000 0.5000
Br: 0.5000 0.5000 0.0000

Summary:
Fermi-level density of states	2.35	states/eV/cell
crystal system	orthorhombic
raw formation energy	-993	meV/atom
raw total energy	-36.82	eV per atom


Entry 9:
TaCoSi: single point on PBEsol structure, SCAN.

abc: 3.5422 9.0140 4.8797
angles: 90.00 90.00 90.00
Space group Cmcm (No. 63)
Symmetry-distinct sites (fractional):
Ta: 0.0000 0.2113 0.2500
Co: 0.0000 0.5000 0.0000
Si: 0.0000 0.0817 0.7500

Summary:
Fermi-level density of states	6.47	states/eV/cell
crystal system	orthorhombic
raw formation energy	-581	meV/atom
raw total energy	-31.88	eV per atom


Entry 10:
Zr2TlTe: single point on PBEsol structure, SCAN.

abc: 3.8963 3.8963 6.0741
angles: 90.00 90.00 90.00
Space group P4mm (No. 99)
Symmetry-distinct sites (fractional):
Zr: 0.0000 0.0000 0.0000
Zr: 0.5000 0.5000 0.2964
Tl: 0.5000 0.5000 0.8136
Te: 0.0000 0.0000 0.4837

Summary:
Fermi-level density of states	2.62	states/eV/cell
crystal system	tetragonal
raw formation energy	-432	meV/atom
raw total energy	-43.18	eV per atom


Entry 11:
Mg30MnCoO32: single point on PBEsol structure, SCAN.

abc: 8.4224 8.4224 8.4252
angles: 90.00 90.00 90.00
Space group P4/mmm (No. 123)
Symmetry-distinct sites (fractional):
Mg: 0.0000 0.0000 0.0000
Mg: 0.0000 0.2480 0.2517
Mg: 0.0000 0.5000 0.0000
Mg: 0.0000 0.5000 0.5000
Mg: 0.2479 0.2479 0.5000
Mg: 0.2494 0.2494 0.0000
Mg: 0.2501 0.5000 0.2507
Mg: 0.5000 0.5000 0.0000
Mn: 0.5000 0.5000 0.5000
Co: 0.0000 0.0000 0.5000
O: 0.0000 0.0000 0.2441
O: 0.0000 0.2512 0.0000
O: 0.0000 0.2586 0.5000
O: 0.0000 0.5000 0.2508
O: 0.2504 0.2504 0.2507
O: 0.2517 0.5000 0.0000
O: 0.2587 0.5000 0.5000
O: 0.5000 0.5000 0.2553

Summary:
Fermi-level density of states	9.76	states/eV/cell
crystal system	tetragonal
raw formation energy	-2894	meV/atom
raw total energy	-8.90	eV per atom


Entry 12:
Cs3InNi: single point on PBEsol structure, SCAN.

abc: 7.0675 7.0675 7.0675
angles: 90.00 90.00 90.00
Space group Pm-3m (No. 221)
Symmetry-distinct sites (fractional):
Cs: 0.0000 0.0000 0.5000
In: 0.0000 0.0000 0.0000
Ni: 0.5000 0.5000 0.5000

Summary:
Fermi-level density of states	14.41	states/eV/cell
ΔE_f	0.797	eV/atom
crystal system	cubic
raw total energy	-31.80	eV per atom


Entry 13:
Cd2TeW: single point on PBEsol structure, SCAN.

abc: 2.9818 2.9818 32.7744
angles: 90.00 90.00 120.00
Space group R-3m (No. 166, hexagonal axes)
Symmetry-distinct sites (fractional):
Cd: 0.0000 0.0000 0.2391
Te: 0.0000 0.0000 0.0000
W: 0.0000 0.0000 0.5000

Summary:
Fermi-level density of states	9.73	states/eV/cell
crystal system	trigonal
raw formation energy	644	meV/atom
raw total energy	-41.30	eV per atom


Entry 14:
CaZnAs2: single point on PBEsol structure, SCAN.

abc: 3.0278 5.1271 5.2557
angles: 90.00 90.00 90.00
Space group Pmm2 (No. 25)
Symmetry-distinct sites (fractional):
Ca: 0.0000 0.0000 0.0000
Zn: 0.5000 0.5000 0.3973
As: 0.5000 0.0000 0.4965
As: 0.5000 0.5000 0.9068

Summary:
Fermi-level density of states	1.75	states/eV/cell
ΔE_f	-0.388	eV/atom
crystal system	orthorhombic
raw total energy	-16.28	eV per atom


Entry 15:
LaCdSb2I: single point on PBEsol structure, SCAN.

abc: 5.3442 5.3442 5.8312
angles: 90.00 90.00 90.00
Space group P4/mmm (No. 123)
Symmetry-distinct sites (fractional):
La: 0.0000 0.0000 0.0000
Cd: 0.5000 0.5000 0.5000
Sb: 0.0000 0.5000 0.5000
I: 0.5000 0.5000 0.0000

Summary:
Fermi-level density of states	1.65	states/eV/cell
crystal system	tetragonal
raw formation energy	-131	meV/atom
raw total energy	-37.09	eV per atom


Entry 16:
YMnSCl2: single point on PBEsol structure, SCAN.

abc: 5.1776 5.1776 5.2224
angles: 90.00 90.00 90.00
Space group P4/mmm (No. 123)
Symmetry-distinct sites (fractional):
Y: 0.0000 0.0000 0.0000
Mn: 0.5000 0.5000 0.5000
S: 0.0000 0.0000 0.5000
Cl: 0.0000 0.5000 0.0000

Summary:
crystal system	tetragonal
raw formation energy	-1378	meV/atom
raw total energy	-15.71	eV per atom


Entry 17:
AgHgW2: single point on PBEsol structure, SCAN.

abc: 2.8184 2.8184 29.1006
angles: 90.00 90.00 120.00
Space group R-3m (No. 166, hexagonal axes)
Symmetry-distinct sites (fractional):
Ag: 0.0000 0.0000 0.0000
Hg: 0.0000 0.0000 0.5000
W: 0.0000 0.0000 0.2516

Summary:
Fermi-level density of states	7.71	states/eV/cell
ΔE_f	0.818	eV/atom
crystal system	trigonal
raw total energy	-58.91	eV per atom


Entry 18:
Li6Si2O7: single point on PBEsol structure, SCAN.

abc: 7.7122 7.7122 4.8191
angles: 90.00 90.00 90.00
Space group P-42_1m (No. 113)
Symmetry-distinct sites (fractional):
Li: 0.0836 0.1360 0.2952
Li: 0.1111 0.6111 0.3150
Si: 0.1443 0.3557 0.8210
O: 0.0000 0.5000 0.6820
O: 0.0991 0.1624 0.7101
O: 0.1303 0.3697 0.1584

Summary:
Fermi-level density of states	0.00	states/eV/cell
crystal system	tetragonal
raw formation energy	-2642	meV/atom
raw total energy	-7.84	eV per atom


Entry 19:
CaGaAs2Se: single point on PBEsol structure, SCAN.

abc: 5.3026 5.3026 5.2855
angles: 90.00 90.00 90.00
Space group P4/mmm (No. 123)
Symmetry-distinct sites (fractional):
Ca: 0.0000 0.0000 0.0000
Ga: 0.5000 0.5000 0.5000
As: 0.0000 0.5000 0.0000
Se: 0.0000 0.0000 0.5000

Summary:
Fermi-level density of states	4.07	states/eV/cell
crystal system	tetragonal
raw formation energy	525	meV/atom
raw total energy	-16.77	eV per atom


Entry 20:
KCaAu3: single point on PBEsol structure, SCAN.

abc: 5.4854 5.4854 5.4854
angles: 90.00 90.00 90.00
Space group Pm-3m (No. 221)
Symmetry-distinct sites (fractional):
K: 0.0000 0.0000 0.0000
Ca: 0.5000 0.5000 0.5000
Au: 0.0000 0.5000 0.5000

Summary:
ΔE_f	-0.243	eV/atom
crystal system	cubic
raw total energy	-45.34	eV per atom


Table of size of the total moment (μB per formula unit), in record order: 0.0, 0.0, 0.0, 0.0, 0.0, 0.0, 0.0, 0.0, 0.0, 0.0, 4.0, 1.1, 0.0, 0.0, 0.0, 6.0, 0.0, 0.0, 0.9, 0.0
Table of V (Å³ per cell), in record order: 301.7, 61.9, 167.4, 226.3, 131.1, 138.8, 54.4, 101.9, 155.8, 92.2, 597.7, 353.0, 252.4, 81.6, 166.5, 140.0, 200.2, 286.6, 148.6, 165.1